Record 1
Below is a relaxed structure of Zr3ScAs, with properties calculated at the GGA-PBE level.

Its space group is Pm-3m (221). The density of states at the Fermi level is 2.90 states/eV per cell. For the energy relative to the lowest polymorph listed for this composition, the calculation gives 0.0 meV per atom. The value obtained for the total energy is -37.00 eV for the cell shown.

Lattice parameters (Å, degrees): 5.053 5.053 5.053 90.00 90.00 90.00
Positions (direct):
Sc  0.500  0.500  0.500
Zr  0.000  0.500  0.000
As  0.000  0.000  0.000
Zr  0.000  0.000  0.500
Zr  0.500  0.000  0.000

---

Record 2
Below is a relaxed structure of Rb2ScSb4Au3, with properties calculated at the GGA-PBE level.

Its space group is P-4m2 (115). The density of states at the Fermi level is 1.82 states/eV per cell. The value obtained for the formation energy from raw total energies is -0.433 eV per atom. The value obtained for the total energy is -38.92 eV for the cell shown.

Lattice parameters (Å, degrees): 4.836 4.836 12.034 90.00 90.00 90.00
Positions (direct):
Sb  0.000  0.500  0.367
Rb  0.000  0.500  0.753
Sb  0.000  0.000  0.000
Sb  0.500  0.000  0.633
Sc  0.500  0.500  0.500
Au  0.000  0.500  0.131
Au  0.500  0.000  0.869
Rb  0.500  0.000  0.247
Sb  0.500  0.500  0.000
Au  0.000  0.000  0.500

---

Record 3
Below is a relaxed structure of PrSmDy2Hg4, with properties calculated at the GGA-PBE level.

Its space group is R-3m (166). The density of states at the Fermi level is 9.41 states/eV per cell. The value obtained for the total energy is -23.65 eV for the cell shown.

Lattice parameters (Å, degrees): 5.344 5.344 9.260 73.23 73.23 60.00
Positions (direct):
Hg  0.126  0.126  0.621
Hg  0.623  0.623  0.130
Sm  0.500  0.500  0.500
Dy  0.750  0.750  0.749
Hg  0.874  0.874  0.379
Dy  0.250  0.250  0.251
Hg  0.377  0.377  0.870
Pr  0.000  0.000  0.000

---

Record 4
Below is a relaxed structure of ReRu2Br, with properties calculated at the GGA-PBE level.

Its space group is P4/mmm (123). The density of states at the Fermi level is 3.35 states/eV per cell. The value obtained for the formation energy from raw total energies is 0.510 eV per atom. For the energy relative to the lowest polymorph listed for this composition, the calculation gives 0.0 meV per atom. The value obtained for the total energy is -30.63 eV for the cell shown.

Lattice parameters (Å, degrees): 2.901 2.901 7.470 90.00 90.00 90.00
Positions (direct):
Ru  0.000  0.000  0.980
Re  0.500  0.500  0.750
Br  0.500  0.500  0.250
Ru  0.000  0.000  0.520

---

Record 5
Below is a relaxed structure of KHgRh2, with properties calculated at the GGA-PBE level.

Its space group is Immm (71). The density of states at the Fermi level is 3.33 states/eV per cell. The value obtained for the total energy is -13.93 eV for the cell shown.

Lattice parameters (Å, degrees): 5.960 5.960 5.960 151.04 128.99 59.73
Positions (direct):
Hg  0.750  0.250  0.500
Rh  0.522  0.522  0.000
K  0.250  0.750  0.500
Rh  0.978  0.978  0.000